[1]
Density functional theory data (PBE) for a geometry-optimized SrAcCuGe structure.

abc: 5.4243 5.4243 5.4243
angles: 60.00 60.00 60.00
Closest atoms and distances in Å follow each position.
Fractional positions:
Ac 0.5000 0.5000 0.5000  4 Cu 3.32, 4 Ge 3.32
Cu 0.7500 0.7500 0.7500  4 Ac 3.32, 4 Sr 3.32
Sr 0.0000 0.0000 0.0000  4 Ge 3.32, 4 Cu 3.32
Ge 0.2500 0.2500 0.2500  4 Ac 3.32, 4 Sr 3.32

Summary:
* DFT total energy: -3.991 eV/atom
* ρ: 6.63 g/cm3
* V: 112.9 Å³/cell

[2]
Density functional theory data (PBE) for a geometry-optimized SrAc2Cu3Ge4 structure.

abc: 4.4869 4.4869 11.3558
angles: 90.00 90.00 90.00
Closest atoms and distances in Å follow each position.
Fractional positions:
Sr 0.5000 0.5000 0.5000  4 Ge 3.00, 4 Cu 3.17
Ac 0.5000 0.0000 0.2204  8 Ge 3.36-3.38, 5 Cu 3.43-3.71
Ac 0.0000 0.5000 0.7796  8 Ge 3.36-3.38, 5 Cu 3.43-3.71
Cu 0.0000 0.5000 0.1067  5 Ge 2.47-2.55
Cu 0.0000 0.0000 0.5000  4 Ge 3.00, 4 Sr 3.17
Cu 0.5000 0.0000 0.8933  5 Ge 2.47-2.55
Ge 0.0000 0.5000 0.3240  1 Cu 2.47
Ge 0.5000 0.0000 0.6760  1 Cu 2.47
Ge 0.5000 0.5000 0.0000  4 Cu 2.55
Ge 0.0000 0.0000 0.0000  4 Cu 2.55

Summary:
* DFT total energy: -4.458 eV/atom
* ρ: 7.43 g/cm3
* V: 228.6 Å³/cell

[3]
Density functional theory data (PBE) for a geometry-optimized AcTbCu2Ge2 structure.

abc: 4.3387 4.3387 7.9574
angles: 90.00 90.00 120.00
Closest atoms and distances in Å follow each position.
Fractional positions:
Cu 0.6667 0.3333 0.2876  3 Ge 2.51
Cu 0.3333 0.6667 0.7124  3 Ge 2.51
Tb 0.0000 0.0000 0.5000  6 Cu 3.02, 6 Ge 3.08
Ac 0.0000 0.0000 0.0000  6 Ge 3.32, 6 Cu 3.39
Ge 0.6667 0.3333 0.7253  3 Cu 2.51
Ge 0.3333 0.6667 0.2747  3 Cu 2.51

Summary:
* DFT total energy: -5.011 eV/atom
* ρ: 8.43 g/cm3
* V: 129.7 Å³/cell

[4]
Density functional theory data (PBE) for a geometry-optimized AcThCuGe structure.

abc: 5.2783 5.2783 5.2783
angles: 60.00 60.00 60.00
Closest atoms and distances in Å follow each position.
Fractional positions:
Cu 0.7500 0.7500 0.7500  4 Ac 3.23, 4 Th 3.23
Ge 0.2500 0.2500 0.2500  4 Th 3.23, 4 Ac 3.23
Th 0.0000 0.0000 0.0000  4 Cu 3.23, 4 Ge 3.23
Ac 0.5000 0.5000 0.5000  4 Ge 3.23, 4 Cu 3.23

Summary:
* DFT total energy: -5.318 eV/atom
* ρ: 9.51 g/cm3
* V: 104.0 Å³/cell

[5]
Density functional theory data (PBE) for a geometry-optimized Ac2TiCu3Ge4 structure.

abc: 4.3560 4.3560 10.6466
angles: 90.00 90.00 90.00
Closest atoms and distances in Å follow each position.
Fractional positions:
Ge 0.5000 0.0000 0.6359  3 Cu 2.58-2.61, 2 Ti 2.61
Ge 0.0000 0.5000 0.3641  3 Cu 2.58-2.61, 2 Ti 2.61
Ge 0.0000 0.0000 0.0000  4 Cu 2.53
Ge 0.5000 0.5000 0.0000  4 Cu 2.53
Cu 0.0000 0.0000 0.5000  4 Ge 2.61
Cu 0.5000 0.0000 0.8782  5 Ge 2.53-2.58
Cu 0.0000 0.5000 0.1218  5 Ge 2.53-2.58
Ac 0.0000 0.5000 0.7617  6 Cu 3.32-3.54, 8 Ge 3.34-3.36, 2 Ti 3.54
Ac 0.5000 0.0000 0.2383  6 Cu 3.32-3.54, 8 Ge 3.34-3.36, 2 Ti 3.54
Ti 0.5000 0.5000 0.5000  4 Ge 2.61

Summary:
* DFT total energy: -5.194 eV/atom
* ρ: 8.08 g/cm3
* V: 202.0 Å³/cell

[6]
Density functional theory data (PBE) for a geometry-optimized Ac2TlCu4Ge3 structure.

abc: 4.4088 4.4088 10.5717
angles: 90.00 90.00 90.00
Closest atoms and distances in Å follow each position.
Fractional positions:
Ge 0.0000 0.0000 0.5000  4 Cu 2.69
Ge 0.5000 0.0000 0.8793  5 Cu 2.46-2.55
Ge 0.0000 0.5000 0.1207  5 Cu 2.46-2.55
Ac 0.0000 0.5000 0.7677  8 Cu 3.30-3.37, 6 Ge 3.33-3.59, 2 Tl 3.59
Ac 0.5000 0.0000 0.2323  8 Cu 3.30-3.37, 6 Ge 3.33-3.59, 2 Tl 3.59
Tl 0.5000 0.5000 0.5000  4 Cu 2.69
Cu 0.5000 0.5000 0.0000  4 Ge 2.55
Cu 0.0000 0.0000 0.0000  4 Ge 2.55
Cu 0.0000 0.5000 0.3534  3 Ge 2.46-2.69, 2 Tl 2.69
Cu 0.5000 0.0000 0.6466  3 Ge 2.46-2.69, 2 Tl 2.69

Summary:
* DFT total energy: -4.474 eV/atom
* ρ: 9.14 g/cm3
* V: 205.5 Å³/cell

[7]
Density functional theory data (PBE) for a geometry-optimized AcTlCuGe structure.

abc: 5.2207 5.2207 5.2207
angles: 60.00 60.00 60.00
Closest atoms and distances in Å follow each position.
Fractional positions:
Ge 0.5000 0.5000 0.5000  4 Ac 3.20, 4 Tl 3.20
Tl 0.7500 0.7500 0.7500  4 Ge 3.20, 4 Cu 3.20
Ac 0.2500 0.2500 0.2500  4 Cu 3.20, 4 Ge 3.20
Cu 0.0000 0.0000 0.0000  4 Tl 3.20, 4 Ac 3.20

Summary:
* DFT total energy: -3.907 eV/atom
* ρ: 9.37 g/cm3
* V: 100.6 Å³/cell

[8]
Density functional theory data (PBE) for a geometry-optimized AcTmCu2Ge2 structure.

abc: 4.3293 4.3293 7.8090
angles: 90.00 90.00 120.00
Closest atoms and distances in Å follow each position.
Fractional positions:
Ac 0.0000 0.0000 0.0000  6 Ge 3.32, 6 Cu 3.43
Tm 0.0000 0.0000 0.5000  6 Cu 2.95, 6 Ge 3.04
Cu 0.6667 0.3333 0.3003  3 Ge 2.50
Cu 0.3333 0.6667 0.6997  3 Ge 2.50
Ge 0.3333 0.6667 0.2792  3 Cu 2.50
Ge 0.6667 0.3333 0.7208  3 Cu 2.50

Summary:
* DFT total energy: -4.983 eV/atom
* ρ: 8.75 g/cm3
* V: 126.8 Å³/cell

[9]
Density functional theory data (PBE) for a geometry-optimized Ac2TmCu3Ge4 structure.

abc: 4.4362 4.4362 10.9267
angles: 90.00 90.00 90.00
Closest atoms and distances in Å follow each position.
Fractional positions:
Ge 0.5000 0.5000 0.0000  4 Cu 2.54
Ge 0.0000 0.0000 0.0000  4 Cu 2.54
Ge 0.5000 0.0000 0.6550  3 Cu 2.53-2.79, 2 Tm 2.79
Ge 0.0000 0.5000 0.3450  3 Cu 2.53-2.79, 2 Tm 2.79
Cu 0.0000 0.0000 0.5000  4 Ge 2.79
Cu 0.0000 0.5000 0.1137  5 Ge 2.53-2.54
Cu 0.5000 0.0000 0.8863  5 Ge 2.53-2.54
Tm 0.5000 0.5000 0.5000  4 Ge 2.79
Ac 0.5000 0.0000 0.2292  8 Ge 3.35-3.38, 7 Cu 3.38-3.75, 2 Tm 3.70
Ac 0.0000 0.5000 0.7708  8 Ge 3.35-3.38, 7 Cu 3.38-3.75, 2 Tm 3.70

Summary:
* DFT total energy: -4.890 eV/atom
* ρ: 8.53 g/cm3
* V: 215.0 Å³/cell

[10]
Density functional theory data (PBE) for a geometry-optimized AcTmCuGe structure.

abc: 5.2045 5.2045 5.2045
angles: 60.00 60.00 60.00
Closest atoms and distances in Å follow each position.
Fractional positions:
Tm 0.5000 0.5000 0.5000  4 Ge 3.19, 4 Cu 3.19
Ge 0.2500 0.2500 0.2500  4 Ac 3.19, 4 Tm 3.19
Ac 0.0000 0.0000 0.0000  4 Cu 3.19, 4 Ge 3.19
Cu 0.7500 0.7500 0.7500  4 Ac 3.19, 4 Tm 3.19

Summary:
* DFT total energy: -4.678 eV/atom
* ρ: 8.86 g/cm3
* V: 99.7 Å³/cell

[11]
Density functional theory data (PBE) for a geometry-optimized Ac2ZnCu4Ge3 structure.

abc: 4.3553 4.3553 10.2454
angles: 90.00 90.00 90.00
Closest atoms and distances in Å follow each position.
Fractional positions:
Ge 0.0000 0.5000 0.1277  5 Cu 2.51-2.54
Ge 0.0000 0.0000 0.5000  4 Cu 2.54
Ge 0.5000 0.0000 0.8723  5 Cu 2.51-2.54
Cu 0.5000 0.0000 0.6275  3 Ge 2.51-2.54, 2 Zn 2.54
Cu 0.5000 0.5000 0.0000  4 Ge 2.54
Cu 0.0000 0.5000 0.3725  3 Ge 2.51-2.54, 2 Zn 2.54
Cu 0.0000 0.0000 0.0000  4 Ge 2.54
Ac 0.0000 0.5000 0.7566  6 Ge 3.30-3.41, 8 Cu 3.31-3.35, 2 Zn 3.41
Ac 0.5000 0.0000 0.2434  6 Ge 3.30-3.41, 8 Cu 3.31-3.35, 2 Zn 3.41
Zn 0.5000 0.5000 0.5000  4 Cu 2.54

Summary:
* DFT total energy: -4.416 eV/atom
* ρ: 8.47 g/cm3
* V: 194.3 Å³/cell

[12]
Density functional theory data (PBE) for a geometry-optimized Ac2Zn3CuGe4 structure.

abc: 4.5240 4.5240 10.1997
angles: 90.00 90.00 90.00
Closest atoms and distances in Å follow each position.
Fractional positions:
Ge 0.0000 0.5000 0.3740  3 Zn 2.51-2.60, 2 Cu 2.60
Ge 0.5000 0.5000 0.0000  4 Zn 2.61
Ge 0.0000 0.0000 0.0000  4 Zn 2.61
Ge 0.5000 0.0000 0.6260  3 Zn 2.51-2.60, 2 Cu 2.60
Cu 0.5000 0.5000 0.5000  4 Ge 2.60
Zn 0.0000 0.5000 0.1277  5 Ge 2.51-2.61
Zn 0.5000 0.0000 0.8723  5 Ge 2.51-2.61
Zn 0.0000 0.0000 0.5000  4 Ge 2.60
Ac 0.0000 0.5000 0.7453  2 Cu 3.37, 6 Zn 3.37-3.45, 8 Ge 3.42-3.44
Ac 0.5000 0.0000 0.2547  2 Cu 3.37, 6 Zn 3.37-3.45, 8 Ge 3.42-3.44

Summary:
* DFT total energy: -3.917 eV/atom
* ρ: 7.99 g/cm3
* V: 208.7 Å³/cell

Result set for total moment: 0.000, 0.000, 0.000, 0.000, 0.056, 0.000, 0.000, 0.000, 0.000, 0.000, 0.000, 0.000 μB per atom, one per record in the order listed.